[1]
VASP calculation (PBE-GGA) on H2Au after structural relaxation.

Cell: 7.971 7.971 7.971 Å, 90.00 90.00 90.00°
Space group Fd-3m (No. 227, origin choice 2)
Asymmetric unit:
H (0.000, 0.000, 0.000) (multiplicity 16)
Au (0.125, 0.125, 0.125) (multiplicity 8)

crystal system = cubic
mass density = 5.220 Mg/m³
total DFT energy (no corrections) = -2.768 eV/atom


[2]
VASP calculation (PBE-GGA) on H2Au after structural relaxation.

Cell: 6.476 3.507 5.922 Å, 90.00 90.00 90.00°
Space group Pnma (No. 62)
Asymmetric unit:
H (0.003, 0.250, 0.249) (multiplicity 4)
H (0.247, 0.250, 0.643) (multiplicity 4)
Au (0.002, 0.750, 0.247) (multiplicity 4)

crystal system = orthorhombic
mass density = 9.827 Mg/m³
total DFT energy (no corrections) = -3.064 eV/atom


[3]
VASP calculation (PBE-GGA) on KH12AuI4 after structural relaxation.

Cell: 5.536 7.839 8.905 Å, 103.14 96.09 102.23°
Space group P1 (No. 1)
Asymmetric unit:
K (0.000, 0.000, 0.000) (multiplicity 1)
H (0.065, 0.151, 0.381) (multiplicity 1)
H (0.107, 0.943, 0.612) (multiplicity 1)
H (0.183, 0.351, 0.198) (multiplicity 1)
H (0.235, 0.974, 0.663) (multiplicity 1)
H (0.452, 0.013, 0.219) (multiplicity 1)
H (0.459, 0.522, 0.882) (multiplicity 1)
H (0.462, 0.089, 0.178) (multiplicity 1)
H (0.603, 0.794, 0.421) (multiplicity 1)
H (0.835, 0.540, 0.616) (multiplicity 1)
H (0.848, 0.454, 0.095) (multiplicity 1)
H (0.958, 0.186, 0.432) (multiplicity 1)
H (0.996, 0.810, 0.247) (multiplicity 1)
Au (0.829, 0.938, 0.384) (multiplicity 1)
I (0.130, 0.579, 0.231) (multiplicity 1)
I (0.393, 0.712, 0.835) (multiplicity 1)
I (0.578, 0.277, 0.919) (multiplicity 1)
I (0.605, 0.407, 0.482) (multiplicity 1)

crystal system = triclinic
mass density = 3.458 Mg/m³
total DFT energy (no corrections) = -2.743 eV/atom


[4]
VASP calculation (PBE-GGA) on KH2Au after structural relaxation.

Cell: 12.516 4.515 5.539 Å, 90.00 90.00 90.00°
Space group Pnma (No. 62)
Asymmetric unit:
K (0.139, 0.250, 0.009) (multiplicity 4)
H (0.046, 0.750, 0.198) (multiplicity 4)
H (0.151, 0.750, 0.747) (multiplicity 4)
Au (0.092, 0.750, 0.478) (multiplicity 4)

crystal system = orthorhombic
mass density = 5.052 Mg/m³
total DFT energy (no corrections) = -3.019 eV/atom